# 1
DFT (PBE) results for a relaxed structure of MgSbW2.

Values from the calculation:
- Relative energy among the computed polymorphs: 157 meV per atom
- E_form (uncorrected): 0.484 eV per atom
- Uncorrected energy: -29.69 eV for the cell shown

Unit cell a=5.2130 b=5.2130 c=5.2130 alpha=138.48 beta=128.42 gamma=68.28
Fractional coordinates of all 4 atoms:
Mg1 0.0000 0.0000 0.0000
Sb1 0.2651 0.7651 0.5000
W1 0.5244 0.5244 0.0000
W2 0.7387 0.2387 0.5000

---

# 2
DFT (PBE) results for a relaxed structure of Mg2SbW.

Values from the calculation:
- E_form (uncorrected): 0.391 eV per atom
- Uncorrected energy: -18.70 eV for the cell shown

Unit cell a=5.3951 b=5.3951 c=2.9745 alpha=90.00 beta=90.00 gamma=115.45
Fractional coordinates of all 4 atoms:
Mg1 0.0000 0.5000 0.0000
Mg2 0.5000 0.0000 0.0000
Sb1 0.0000 0.0000 0.5000
W1 0.5000 0.5000 0.5000

---

# 3
DFT (PBE) results for a relaxed structure of MgSbW2.

Values from the calculation:
- Relative energy among the computed polymorphs: 292 meV per atom
- E_form (uncorrected): 0.620 eV per atom
- Uncorrected energy: -29.14 eV for the cell shown

Unit cell a=5.3206 b=5.3206 c=5.3206 alpha=136.26 beta=136.26 gamma=63.58
Fractional coordinates of all 4 atoms:
Mg1 0.0000 0.0000 0.0000
Sb1 0.5000 0.5000 0.0000
W1 0.2500 0.7500 0.5000
W2 0.7500 0.2500 0.5000

---

# 4
DFT (PBE) results for a relaxed structure of Mg2SbW.

Values from the calculation:
- E_form (uncorrected): 0.314 eV per atom
- Uncorrected energy: -19.01 eV for the cell shown

Unit cell a=2.9520 b=2.9520 c=9.4279 alpha=90.00 beta=90.00 gamma=90.00
Fractional coordinates of all 4 atoms:
Mg1 0.0000 0.0000 0.2206
Mg2 0.0000 0.0000 0.7794
Sb1 0.5000 0.5000 0.5000
W1 0.5000 0.5000 0.0000

---

# 5
DFT (PBE) results for a relaxed structure of Mg2SbW.

Values from the calculation:
- E_form (uncorrected): 0.535 eV per atom
- Uncorrected energy: -18.13 eV for the cell shown

Unit cell a=5.0937 b=5.0937 c=3.0378 alpha=90.00 beta=90.00 gamma=90.00
Fractional coordinates of all 4 atoms:
Mg1 0.0000 0.5000 0.0000
Mg2 0.5000 0.0000 0.0000
Sb1 0.0000 0.0000 0.5000
W1 0.5000 0.5000 0.5000

---

# 6
DFT (PBE) results for a relaxed structure of MgSbW2.

Values from the calculation:
- Relative energy among the computed polymorphs: 411 meV per atom
- E_form (uncorrected): 0.739 eV per atom
- Uncorrected energy: -28.67 eV for the cell shown

Unit cell a=9.3436 b=9.3436 c=9.3436 alpha=18.75 beta=18.75 gamma=18.75
Fractional coordinates of all 4 atoms:
Mg1 0.0000 0.0000 0.0000
Sb1 0.5000 0.5000 0.5000
W1 0.2464 0.2464 0.2464
W2 0.7536 0.7536 0.7536

---

# 7
DFT (PBE) results for a relaxed structure of Mg2SbW.

Values from the calculation:
- E_form (uncorrected): 0.393 eV per atom
- Uncorrected energy: -18.69 eV for the cell shown

Unit cell a=9.5901 b=9.5901 c=9.5901 alpha=18.88 beta=18.88 gamma=18.88
Fractional coordinates of all 4 atoms:
Mg1 0.2465 0.2465 0.2465
Mg2 0.7535 0.7535 0.7535
Sb1 0.0000 0.0000 0.0000
W1 0.5000 0.5000 0.5000

---

# 8
DFT (PBE) results for a relaxed structure of Mg2SbW.

Values from the calculation:
- E_form (uncorrected): 0.265 eV per atom
- Uncorrected energy: -19.20 eV for the cell shown

Unit cell a=3.5534 b=3.5534 c=6.1711 alpha=90.00 beta=90.00 gamma=90.00
Fractional coordinates of all 4 atoms:
Mg1 0.0000 0.0000 0.0000
Mg2 0.5000 0.5000 0.2583
Sb1 0.0000 0.0000 0.5347
W1 0.5000 0.5000 0.7537

---

# 9
DFT (PBE) results for a relaxed structure of Mg2SbW2.

Values from the calculation:
- Relative energy among the computed polymorphs: 0 meV per atom
- E_form (uncorrected): 0.606 eV per atom
- Uncorrected energy: -30.19 eV for the cell shown

Unit cell a=9.3464 b=9.3464 c=9.3464 alpha=157.99 beta=157.99 gamma=31.33
Fractional coordinates of all 5 atoms:
Mg1 0.1136 0.1136 0.0000
Mg2 0.8864 0.8864 0.0000
Sb1 0.5000 0.5000 0.0000
W1 0.2500 0.7500 0.5000
W2 0.7500 0.2500 0.5000

---

# 10
DFT (PBE) results for a relaxed structure of Mg2SbW.

Values from the calculation:
- E_form (uncorrected): 0.552 eV per atom
- Uncorrected energy: -18.06 eV for the cell shown

Unit cell a=4.7760 b=4.7760 c=4.7760 alpha=60.00 beta=60.00 gamma=60.00
Fractional coordinates of all 4 atoms:
Mg1 0.0000 0.0000 0.0000
Mg2 0.2500 0.2500 0.2500
Sb1 0.7500 0.7500 0.7500
W1 0.5000 0.5000 0.5000

---

# 11
DFT (PBE) results for a relaxed structure of Mg2SbW.

Values from the calculation:
- E_form (uncorrected): 0.333 eV per atom
- Uncorrected energy: -18.93 eV for the cell shown

Unit cell a=5.2718 b=5.2718 c=5.2718 alpha=135.91 beta=131.00 gamma=68.02
Fractional coordinates of all 4 atoms:
Mg1 0.0000 0.0000 0.0000
Mg2 0.7495 0.2495 0.5000
Sb1 0.2526 0.7526 0.5000
W1 0.4960 0.4960 0.0000

---

# 12
DFT (PBE) results for a relaxed structure of MgSbW2.

Values from the calculation:
- Relative energy among the computed polymorphs: 423 meV per atom
- E_form (uncorrected): 0.750 eV per atom
- Uncorrected energy: -28.62 eV for the cell shown

Unit cell a=2.8368 b=4.5715 c=5.6300 alpha=90.00 beta=90.00 gamma=90.00
Fractional coordinates of all 4 atoms:
Mg1 0.0000 0.0000 0.0000
Sb1 0.0000 0.0000 0.5000
W1 0.5000 0.5000 0.2337
W2 0.5000 0.5000 0.7663

---

# 13
DFT (PBE) results for a relaxed structure of MgSbW2.

Values from the calculation:
- Relative energy among the computed polymorphs: 442 meV per atom
- E_form (uncorrected): 0.769 eV per atom
- Uncorrected energy: -28.55 eV for the cell shown

Unit cell a=3.5143 b=3.5143 c=5.9452 alpha=90.00 beta=90.00 gamma=90.00
Fractional coordinates of all 4 atoms:
Mg1 0.0000 0.0000 0.0000
Sb1 0.0000 0.0000 0.5000
W1 0.5000 0.5000 0.2780
W2 0.5000 0.5000 0.7220

---

# 14
DFT (PBE) results for a relaxed structure of Mg2SbW.

Values from the calculation:
- E_form (uncorrected): 0.390 eV per atom
- Uncorrected energy: -18.70 eV for the cell shown

Unit cell a=5.5958 b=5.5958 c=5.5958 alpha=142.22 beta=133.80 gamma=61.15
Fractional coordinates of all 4 atoms:
Mg1 0.2451 0.2451 0.0000
Mg2 0.7549 0.7549 0.0000
Sb1 0.5000 0.0000 0.5000
W1 0.0000 0.5000 0.5000

---

# 15
DFT (PBE) results for a relaxed structure of Mg2SbW.

Values from the calculation:
- E_form (uncorrected): 0.429 eV per atom
- Uncorrected energy: -18.55 eV for the cell shown

Unit cell a=2.9451 b=4.9199 c=5.6052 alpha=90.00 beta=104.96 gamma=90.00
Fractional coordinates of all 4 atoms:
Mg1 0.0172 0.0000 0.2663
Mg2 0.9828 0.0000 0.7337
Sb1 0.5000 0.5000 0.0000
W1 0.5000 0.5000 0.5000

---

# 16
DFT (PBE) results for a relaxed structure of MgSbW2.

Values from the calculation:
- Relative energy among the computed polymorphs: 184 meV per atom
- E_form (uncorrected): 0.511 eV per atom
- Uncorrected energy: -29.58 eV for the cell shown

Unit cell a=5.0808 b=5.0808 c=4.7504 alpha=97.81 beta=97.81 gamma=37.00
Fractional coordinates of all 4 atoms:
Mg1 0.0000 0.0000 0.0000
Sb1 0.5000 0.5000 0.5000
W1 0.2508 0.2508 0.7787
W2 0.7492 0.7492 0.2213

---

# 17
DFT (PBE) results for a relaxed structure of MgSbW3.

Values from the calculation:
- Relative energy among the computed polymorphs: 0 meV per atom
- E_form (uncorrected): 2.334 eV per atom
- Uncorrected energy: -32.91 eV for the cell shown

Unit cell a=4.9153 b=4.9153 c=4.9153 alpha=90.00 beta=90.00 gamma=90.00
Fractional coordinates of all 5 atoms:
Mg1 0.0000 0.0000 0.0000
Sb1 0.5000 0.5000 0.5000
W1 0.0000 0.5000 0.5000
W2 0.5000 0.0000 0.5000
W3 0.5000 0.5000 0.0000

---

# 18
DFT (PBE) results for a relaxed structure of Mg2SbW.

Values from the calculation:
- E_form (uncorrected): 0.413 eV per atom
- Uncorrected energy: -18.61 eV for the cell shown

Unit cell a=3.0869 b=4.1506 c=6.0730 alpha=90.00 beta=90.00 gamma=90.00
Fractional coordinates of all 4 atoms:
Mg1 0.0000 0.0000 0.2281
Mg2 0.0000 0.0000 0.7719
Sb1 0.5000 0.5000 0.5000
W1 0.5000 0.5000 0.0000

---

# 19
DFT (PBE) results for a relaxed structure of MgSbW2.

Values from the calculation:
- Relative energy among the computed polymorphs: 0 meV per atom
- E_form (uncorrected): 0.328 eV per atom
- Uncorrected energy: -30.31 eV for the cell shown

Unit cell a=3.3753 b=3.3723 c=6.3961 alpha=90.00 beta=90.03 gamma=90.00
Fractional coordinates of all 4 atoms:
Mg1 0.0000 0.0000 0.0000
Sb1 0.4992 0.5000 0.7181
W1 0.5000 0.5000 0.2472
W2 0.9983 0.0000 0.4624

---

# 20
DFT (PBE) results for a relaxed structure of MgSbW2.

Values from the calculation:
- Relative energy among the computed polymorphs: 160 meV per atom
- E_form (uncorrected): 0.487 eV per atom
- Uncorrected energy: -29.67 eV for the cell shown

Unit cell a=5.1299 b=5.1299 c=4.7858 alpha=110.18 beta=110.18 gamma=38.79
Fractional coordinates of all 4 atoms:
Mg1 0.0000 0.0000 0.0000
Sb1 0.2319 0.2319 0.7112
W1 0.4719 0.4719 0.4753
W2 0.7621 0.7621 0.2347

---

# 21
DFT (PBE) results for a relaxed structure of MgZn2SbW.

Values from the calculation:
- E_form (uncorrected): 1.352 eV per atom
- Uncorrected energy: -14.46 eV for the cell shown

Unit cell a=4.6816 b=4.6816 c=5.0717 alpha=90.00 beta=90.00 gamma=90.00
Fractional coordinates of all 5 atoms:
Mg1 0.0000 0.0000 0.0000
Zn1 0.0000 0.5000 0.0000
Zn2 0.5000 0.0000 0.0000
Sb1 0.5000 0.5000 0.5000
W1 0.0000 0.0000 0.5000

---

# 22
DFT (PBE) results for a relaxed structure of YMgSb2.

Values from the calculation:
- E_form (uncorrected): -0.567 eV per atom
- Uncorrected energy: -18.57 eV for the cell shown

Unit cell a=5.0179 b=5.0179 c=4.0882 alpha=90.00 beta=90.00 gamma=94.50
Fractional coordinates of all 4 atoms:
Y1 0.0000 0.0000 0.0000
Mg1 0.5000 0.5000 0.0000
Sb1 0.0000 0.5000 0.5000
Sb2 0.5000 0.0000 0.5000

---

# 23
DFT (PBE) results for a relaxed structure of YMg2Sb.

Values from the calculation:
- E_form (uncorrected): -0.408 eV per atom
- Uncorrected energy: -15.41 eV for the cell shown

Unit cell a=6.2952 b=6.2952 c=6.2952 alpha=139.98 beta=139.70 gamma=58.10
Fractional coordinates of all 4 atoms:
Y1 0.0000 0.0000 0.0000
Mg1 0.2504 0.7504 0.5000
Mg2 0.7496 0.2496 0.5000
Sb1 0.5000 0.5000 0.0000

---

# 24
DFT (PBE) results for a relaxed structure of YMgSb3.

Values from the calculation:
- Relative energy among the computed polymorphs: 822 meV per atom
- E_form (uncorrected): 0.302 eV per atom
- Uncorrected energy: -18.92 eV for the cell shown

Unit cell a=5.7534 b=5.7534 c=5.7534 alpha=90.00 beta=90.00 gamma=90.00
Fractional coordinates of all 5 atoms:
Y1 0.0000 0.0000 0.0000
Mg1 0.5000 0.5000 0.5000
Sb1 0.0000 0.0000 0.5000
Sb2 0.0000 0.5000 0.0000
Sb3 0.5000 0.0000 0.0000

---

# 25
DFT (PBE) results for a relaxed structure of YMgSb.

Values from the calculation:
- Relative energy among the computed polymorphs: 121 meV per atom
- E_form (uncorrected): -0.409 eV per atom
- Uncorrected energy: -13.41 eV for the cell shown

Unit cell a=6.2477 b=6.0558 c=3.8221 alpha=74.66 beta=69.19 gamma=36.15
Fractional coordinates of all 3 atoms:
Y1 0.0000 0.0000 0.0000
Mg1 0.6916 0.6916 0.3084
Sb1 0.3314 0.3314 0.6686

---

# 26
DFT (PBE) results for a relaxed structure of YMgSb2.

Values from the calculation:
- E_form (uncorrected): -0.654 eV per atom
- Uncorrected energy: -37.84 eV for the cell shown

Unit cell a=4.3884 b=4.3884 c=10.8335 alpha=90.00 beta=90.00 gamma=90.00
Fractional coordinates of all 8 atoms:
Y1 0.2500 0.2500 0.2161
Y2 0.7500 0.7500 0.7839
Mg1 0.2500 0.7500 0.5000
Mg2 0.7500 0.2500 0.5000
Sb1 0.2500 0.2500 0.6818
Sb2 0.2500 0.7500 0.0000
Sb3 0.7500 0.2500 0.0000
Sb4 0.7500 0.7500 0.3182

---

# 27
DFT (PBE) results for a relaxed structure of YMgSb.

Values from the calculation:
- Relative energy among the computed polymorphs: 0 meV per atom
- E_form (uncorrected): -0.530 eV per atom
- Uncorrected energy: -13.77 eV for the cell shown

Unit cell a=4.7094 b=4.7094 c=3.9991 alpha=90.00 beta=90.00 gamma=120.00
Fractional coordinates of all 3 atoms:
Y1 0.0000 0.0000 0.0000
Mg1 0.6667 0.3333 0.4974
Sb1 0.3333 0.6667 0.5016

---

# 28
DFT (PBE) results for a relaxed structure of YMg2Sb.

Values from the calculation:
- E_form (uncorrected): -0.379 eV per atom
- Uncorrected energy: -15.29 eV for the cell shown

Unit cell a=5.8489 b=5.8489 c=5.8489 alpha=135.12 beta=135.04 gamma=65.41
Fractional coordinates of all 4 atoms:
Y1 0.0000 0.0000 0.0000
Mg1 0.4993 0.4993 0.0000
Mg2 0.7498 0.2498 0.5000
Sb1 0.2499 0.7499 0.5000

---

# 29
DFT (PBE) results for a relaxed structure of YMg2Sb2.

Values from the calculation:
- E_form (uncorrected): -0.413 eV per atom
- Uncorrected energy: -39.93 eV for the cell shown

Unit cell a=8.1517 b=8.1517 c=3.9516 alpha=90.00 beta=90.00 gamma=90.00
Fractional coordinates of all 10 atoms:
Y1 0.0000 0.0000 0.0000
Y2 0.5000 0.5000 0.0000
Mg1 0.1408 0.3592 0.5000
Mg2 0.3592 0.8592 0.5000
Mg3 0.6408 0.1408 0.5000
Mg4 0.8592 0.6408 0.5000
Sb1 0.1585 0.6585 0.0000
Sb2 0.3415 0.1585 0.0000
Sb3 0.6585 0.8415 0.0000
Sb4 0.8415 0.3415 0.0000

---

# 30
DFT (PBE) results for a relaxed structure of YMgSb.

Values from the calculation:
- Relative energy among the computed polymorphs: 228 meV per atom
- E_form (uncorrected): -0.302 eV per atom
- Uncorrected energy: -13.09 eV for the cell shown

Unit cell a=4.9765 b=4.9765 c=4.9765 alpha=60.00 beta=60.00 gamma=60.00
Fractional coordinates of all 3 atoms:
Y1 0.0000 0.0000 0.0000
Mg1 0.5000 0.5000 0.5000
Sb1 0.2500 0.2500 0.2500